Below is an optimized crystal structure of La3TbCe2Bi6, with properties calculated at the PBE level.

Unit cell a=8.029 b=8.029 c=8.038 alpha=99.58 beta=99.58 gamma=120.00
Atoms (fractional coordinates):
La 0.000 0.000 0.000
La 0.332 0.668 0.000
La 0.668 0.332 0.000
Tb 0.500 0.500 0.500
Ce 0.166 0.834 0.500
Ce 0.834 0.166 0.500
Bi 0.089 0.420 0.259
Bi 0.250 0.250 0.742
Bi 0.420 0.089 0.259
Bi 0.580 0.911 0.741
Bi 0.750 0.750 0.258
Bi 0.911 0.580 0.741

Calculated values
calculated formation energy = -11.27 eV/f.u.
total magnetic moment = 1.6 μB/f.u.